{
  "formula": "NaNiH3",
  "functional": "PBE",
  "state": "relaxed",
  "e_tot_ev_per_cell": -34.65,
  "sg": "C2/m (12)",
  "vol_a3_per_cell": 118,
  "cell": [[10.4425, -1.7199, 0.0000], [10.4425, 1.7199, 0.0000], [-0.1259, 0.0000, 3.2990]],
  "species": ["Na", "Na", "Ni", "Ni", "H", "H", "H", "H", "H", "H"],
  "fractional_positions": [[0.1348, 0.1348, 0.3743], [0.8652, 0.8652, 0.6257], [0.2913, 0.2913, 0.0941], [0.7087, 0.7087, 0.9059], [0.0084, 0.0084, 0.6032], [0.2163, 0.2163, 0.9165], [0.3677, 0.3677, 0.1487], [0.6323, 0.6323, 0.8513], [0.7837, 0.7837, 0.0835], [0.9916, 0.9916, 0.3968]]
}

{
  "formula": "MnTl2Te",
  "functional": "PBE",
  "state": "relaxed",
  "relative_energy_ev_per_atom": 0.073,
  "e_tot_ev_per_cell": -32.88,
  "sg": "Imm2 (44)",
  "vol_a3_per_cell": 230,
  "formation_energy_uncorrected_ev_per_atom": 0.1511,
  "cell": [[3.5627, 0.0000, 0.0000], [0.0000, 4.7252, 0.0000], [0.0000, 0.0000, 13.6361]],
  "species": ["Mn", "Mn", "Tl", "Tl", "Tl", "Tl", "Te", "Te"],
  "fractional_positions": [[0.0000, 0.0000, 0.0000], [0.5000, 0.5000, 0.5000], [0.0000, 0.0000, 0.4547], [0.0000, 0.5000, 0.2793], [0.5000, 0.0000, 0.7793], [0.5000, 0.5000, 0.9547], [0.0000, 0.5000, 0.6481], [0.5000, 0.0000, 0.1481]]
}

{
  "formula": "LaPdRu",
  "functional": "PBE",
  "state": "relaxed",
  "relative_energy_ev_per_atom": 0.088,
  "e_tot_ev_per_cell": -82.09,
  "sg": "Cm (8)",
  "vol_a3_per_cell": 259,
  "delta_e_f_kj_per_mol_fu": -109,
  "cell": [[10.8497, 0.0000, 0.0000], [0.0000, 4.3347, 0.0000], [-5.1383, 0.0000, 5.5174]],
  "species": ["La", "La", "La", "La", "Pd", "Pd", "Pd", "Pd", "Ru", "Ru", "Ru", "Ru"],
  "fractional_positions": [[0.0000, 0.0000, 0.0000], [0.1009, 0.0000, 0.5976], [0.5000, 0.5000, 0.0000], [0.6009, 0.5000, 0.5976], [0.1918, 0.5000, 0.3954], [0.4076, 0.0000, 0.6105], [0.6918, 0.0000, 0.3954], [0.9076, 0.5000, 0.6105], [0.2385, 0.5000, 0.0365], [0.3619, 0.0000, 0.1791], [0.7385, 0.0000, 0.0365], [0.8619, 0.5000, 0.1791]]
}

{
  "formula": "NaSm5Hg8",
  "functional": "PBE",
  "state": "relaxed",
  "e_tot_ev_per_cell": -32.64,
  "sg": "I-4 (82)",
  "vol_a3_per_cell": 386,
  "delta_e_f_kj_per_mol_fu": -512,
  "cell": [[-4.5964, 4.5964, 4.5649], [4.5964, -4.5964, 4.5649], [4.5964, 4.5964, -4.5649]],
  "species": ["Na", "Sm", "Sm", "Sm", "Sm", "Sm", "Hg", "Hg", "Hg", "Hg", "Hg", "Hg", "Hg", "Hg"],
  "fractional_positions": [[0.0000, 0.0000, 0.0000], [0.2636, 0.1445, 0.6348], [0.3712, 0.7364, 0.8809], [0.5097, 0.6288, 0.3652], [0.7500, 0.2500, 0.5000], [0.8555, 0.4903, 0.1191], [0.1138, 0.3633, 0.9208], [0.1314, 0.3819, 0.4098], [0.2784, 0.8686, 0.2504], [0.4426, 0.1931, 0.0792], [0.6181, 0.0280, 0.7496], [0.6367, 0.5574, 0.7505], [0.8069, 0.8862, 0.2495], [0.9720, 0.7216, 0.5902]]
}

{
  "formula": "Be2InAs",
  "functional": "PBE",
  "state": "relaxed",
  "relative_energy_ev_per_atom": 0.062,
  "e_tot_ev_per_cell": -27.25,
  "sg": "Imm2 (44)",
  "vol_a3_per_cell": 132,
  "delta_e_f_kj_per_mol_fu": 117,
  "cell": [[3.4078, 0.0000, 0.0000], [0.0000, 3.4830, 0.0000], [0.0000, 0.0000, 11.1191]],
  "species": ["Be", "Be", "Be", "Be", "In", "In", "As", "As"],
  "fractional_positions": [[0.0000, 0.0000, 0.0000], [0.0000, 0.5000, 0.1266], [0.5000, 0.0000, 0.6266], [0.5000, 0.5000, 0.5000], [0.0000, 0.5000, 0.7549], [0.5000, 0.0000, 0.2549], [0.0000, 0.0000, 0.4874], [0.5000, 0.5000, 0.9874]]
}

{
  "formula": "Bi6O8F",
  "functional": "PBE",
  "state": "relaxed",
  "e_tot_ev_per_cell": -83.33,
  "sg": "R-3 (148)",
  "vol_a3_per_cell": 258,
  "formation_energy_uncorrected_ev_per_atom": -1.2340,
  "cell": [[3.4766, 2.0072, 6.1583], [-3.4766, 2.0072, 6.1583], [0.0000, -4.0144, 6.1583]],
  "species": ["Bi", "Bi", "Bi", "Bi", "Bi", "Bi", "O", "O", "O", "O", "O", "O", "O", "O", "F"],
  "fractional_positions": [[0.0848, 0.3851, 0.7754], [0.2246, 0.9152, 0.6149], [0.3851, 0.7754, 0.0848], [0.6149, 0.2246, 0.9152], [0.7754, 0.0848, 0.3851], [0.9152, 0.6149, 0.2246], [0.0420, 0.7236, 0.3644], [0.1372, 0.1372, 0.1372], [0.2764, 0.6356, 0.9580], [0.3644, 0.0420, 0.7236], [0.6356, 0.9580, 0.2764], [0.7236, 0.3644, 0.0420], [0.8628, 0.8628, 0.8628], [0.9580, 0.2764, 0.6356], [0.5000, 0.5000, 0.5000]]
}